# Zn3GaFe (PBE-GGA, optimized geometry)
data_Zn3GaFe
_cell_length_a 4.655
_cell_length_b 4.655
_cell_length_c 4.655
_cell_angle_alpha 90.00
_cell_angle_beta 90.00
_cell_angle_gamma 90.00
_space_group_name_H-M_alt 'P m -3 m'
_space_group_IT_number 221
_space_group_name_Hall '-P 4 2 3'
loop_
_atom_site_label
_atom_site_type_symbol
_atom_site_fract_x
_atom_site_fract_y
_atom_site_fract_z
_atom_site_occupancy
Zn1 Zn 0.000 0.000 0.500 1
Ga1 Ga 0.500 0.500 0.500 1
Fe1 Fe 0.000 0.000 0.000 1
# - Polymorph energy (0 for the lowest one): 0.0 meV per atom
# - Crystal system: cubic
# - D(E_F): 4.78 states/eV/cell
# - Energy of formation from the pure elements: 0.564 eV/atom
# - Calculated density: 5.298 g/cm3
# - Final energy: -0.184 Ry/atom

***

# ZnGaFe2 (PBE-GGA, optimized geometry)
data_ZnGaFe2
_cell_length_a 2.6810
_cell_length_b 2.6810
_cell_length_c 25.2374
_cell_angle_alpha 90.00
_cell_angle_beta 90.00
_cell_angle_gamma 120.00
_space_group_name_H-M_alt 'R 3 m'
_space_group_IT_number 160
_space_group_name_Hall 'R 3 -2"'
loop_
_atom_site_label
_atom_site_type_symbol
_atom_site_fract_x
_atom_site_fract_y
_atom_site_fract_z
_atom_site_occupancy
Zn1 Zn 0.0000 0.0000 0.0000 1
Ga1 Ga 0.0000 0.0000 0.1667 1
Fe1 Fe 0.0000 0.0000 0.5827 1
Fe2 Fe 0.0000 0.0000 0.7506 1
# - Crystal system: trigonal
# - D(E_F): 6.78 states/eV/cell
# - Energy of formation from the pure elements: 0.026 eV/atom
# - Calculated density: 7.827 g/cm3
# - Final energy: -0.388 Ry/atom

***

# ZnGa2Fe (PBE-GGA, optimized geometry)
data_ZnGa2Fe
_cell_length_a 3.237
_cell_length_b 3.237
_cell_length_c 5.346
_cell_angle_alpha 90.00
_cell_angle_beta 90.00
_cell_angle_gamma 90.00
_space_group_name_H-M_alt 'P 4/m m m'
_space_group_IT_number 123
_space_group_name_Hall '-P 4 2'
loop_
_atom_site_label
_atom_site_type_symbol
_atom_site_fract_x
_atom_site_fract_y
_atom_site_fract_z
_atom_site_occupancy
Zn1 Zn 0.000 0.000 0.000 1
Ga1 Ga 0.500 0.500 0.265 1
Fe1 Fe 0.000 0.000 0.500 1
# - Crystal system: tetragonal
# - D(E_F): 2.46 states/eV/cell
# - Energy of formation from the pure elements: 0.009 eV/atom
# - Calculated density: 7.728 g/cm3
# - Final energy: -0.289 Ry/atom

***

# Zn2GaFe (PBE-GGA, optimized geometry)
data_Zn2GaFe
_cell_length_a 3.750
_cell_length_b 3.750
_cell_length_c 3.904
_cell_angle_alpha 90.00
_cell_angle_beta 90.00
_cell_angle_gamma 90.00
_space_group_name_H-M_alt 'P 4/m m m'
_space_group_IT_number 123
_space_group_name_Hall '-P 4 2'
loop_
_atom_site_label
_atom_site_type_symbol
_atom_site_fract_x
_atom_site_fract_y
_atom_site_fract_z
_atom_site_occupancy
Zn1 Zn 0.000 0.500 0.000 1
Ga1 Ga 0.000 0.000 0.500 1
Fe1 Fe 0.500 0.500 0.500 1
# - Crystal system: tetragonal
# - D(E_F): 2.08 states/eV/cell
# - Energy of formation from the pure elements: 0.000 eV/atom
# - Calculated density: 7.756 g/cm3
# - Final energy: -0.258 Ry/atom

***

# ZnGa2Fe (PBE-GGA, optimized geometry)
data_ZnGa2Fe
_cell_length_a 2.8502
_cell_length_b 2.8502
_cell_length_c 25.2637
_cell_angle_alpha 90.00
_cell_angle_beta 90.00
_cell_angle_gamma 120.00
_space_group_name_H-M_alt 'R 3 m'
_space_group_IT_number 160
_space_group_name_Hall 'R 3 -2"'
loop_
_atom_site_label
_atom_site_type_symbol
_atom_site_fract_x
_atom_site_fract_y
_atom_site_fract_z
_atom_site_occupancy
Zn1 Zn 0.0000 0.0000 0.0000 1
Ga1 Ga 0.0000 0.0000 0.5776 1
Ga2 Ga 0.0000 0.0000 0.7549 1
Fe1 Fe 0.0000 0.0000 0.1658 1
# - Crystal system: trigonal
# - D(E_F): 8.13 states/eV/cell
# - Energy of formation from the pure elements: 0.052 eV/atom
# - Calculated density: 7.307 g/cm3
# - Final energy: -0.286 Ry/atom

***

# ZnGa2Fe4 (PBE-GGA, optimized geometry)
data_ZnGa2Fe4
_cell_length_a 7.500
_cell_length_b 9.269
_cell_length_c 2.838
_cell_angle_alpha 90.00
_cell_angle_beta 90.00
_cell_angle_gamma 90.00
_space_group_name_H-M_alt 'P n n m'
_space_group_IT_number 58
loop_
_space_group_symop_operation_xyz
'x,y,z'
'-x,-y,-z'
'-x,-y,z'
'x,y,-z'
'x+1/2,-y+1/2,-z+1/2'
'-x+1/2,y+1/2,z+1/2'
'-x+1/2,y+1/2,-z+1/2'
'x+1/2,-y+1/2,z+1/2'
loop_
_atom_site_label
_atom_site_type_symbol
_atom_site_fract_x
_atom_site_fract_y
_atom_site_fract_z
_atom_site_occupancy
Zn1 Zn 0.000 0.000 0.000 1
Ga1 Ga 0.203 0.223 0.500 1
Fe1 Fe 0.061 0.623 0.500 1
Fe2 Fe 0.203 0.450 0.000 1
# - Crystal system: orthorhombic
# - D(E_F): 8.44 states/eV/cell
# - Energy of formation from the pure elements: 0.118 eV/atom
# - Calculated density: 7.208 g/cm3
# - Final energy: -0.424 Ry/atom

***

# Zn2Ga3Fe7 (PBE-GGA, optimized geometry)
data_Zn2Ga3Fe7
_cell_length_a 4.159
_cell_length_b 2.636
_cell_length_c 14.900
_cell_angle_alpha 90.00
_cell_angle_beta 93.68
_cell_angle_gamma 90.00
_space_group_name_H-M_alt 'P 1 2/m 1'
_space_group_IT_number 10
loop_
_space_group_symop_operation_xyz
'x,y,z'
'-x,-y,-z'
'-x,y,-z'
'x,-y,z'
loop_
_atom_site_label
_atom_site_type_symbol
_atom_site_fract_x
_atom_site_fract_y
_atom_site_fract_z
_atom_site_occupancy
Zn1 Zn 0.203 0.000 0.282 1
Ga1 Ga 0.000 0.000 0.000 1
Ga2 Ga 0.275 0.500 0.606 1
Fe1 Fe 0.187 0.500 0.138 1
Fe2 Fe 0.238 0.000 0.452 1
Fe3 Fe 0.315 0.000 0.845 1
Fe4 Fe 0.500 0.500 0.000 1
# - Crystal system: monoclinic
# - D(E_F): 8.71 states/eV/cell
# - Energy of formation from the pure elements: 0.099 eV/atom
# - Calculated density: 7.444 g/cm3
# - Final energy: -0.427 Ry/atom

***

# Zn4Ga2Fe (PBE-GGA, optimized geometry)
data_Zn4Ga2Fe
_cell_length_a 4.633
_cell_length_b 4.633
_cell_length_c 12.725
_cell_angle_alpha 90.00
_cell_angle_beta 90.00
_cell_angle_gamma 90.00
_space_group_name_H-M_alt 'I 4/m m m'
_space_group_IT_number 139
_space_group_name_Hall '-I 4 2'
loop_
_atom_site_label
_atom_site_type_symbol
_atom_site_fract_x
_atom_site_fract_y
_atom_site_fract_z
_atom_site_occupancy
Zn1 Zn 0.000 0.000 0.185 1
Zn2 Zn 0.000 0.500 0.000 1
Ga1 Ga 0.000 0.000 0.381 1
Fe1 Fe 0.000 0.000 0.000 1
# - Crystal system: tetragonal
# - D(E_F): 7.64 states/eV/cell
# - Energy of formation from the pure elements: 0.369 eV/atom
# - Calculated density: 5.557 g/cm3
# - Final energy: -0.179 Ry/atom

***

# ZnGa2Fe (PBE-GGA, optimized geometry)
data_ZnGa2Fe
_cell_length_a 3.880
_cell_length_b 3.880
_cell_length_c 3.785
_cell_angle_alpha 90.00
_cell_angle_beta 90.00
_cell_angle_gamma 90.00
_space_group_name_H-M_alt 'P 4/m m m'
_space_group_IT_number 123
_space_group_name_Hall '-P 4 2'
loop_
_atom_site_label
_atom_site_type_symbol
_atom_site_fract_x
_atom_site_fract_y
_atom_site_fract_z
_atom_site_occupancy
Zn1 Zn 0.000 0.000 0.000 1
Ga1 Ga 0.000 0.500 0.500 1
Fe1 Fe 0.500 0.500 0.000 1
# - Crystal system: tetragonal
# - D(E_F): 3.70 states/eV/cell
# - Energy of formation from the pure elements: 0.069 eV/atom
# - Calculated density: 7.596 g/cm3
# - Final energy: -0.285 Ry/atom

***

# ZnGaFe4 (PBE-GGA, optimized geometry)
data_ZnGaFe4
_cell_length_a 8.708
_cell_length_b 4.077
_cell_length_c 5.080
_cell_angle_alpha 90.00
_cell_angle_beta 125.13
_cell_angle_gamma 90.00
_space_group_name_H-M_alt 'C 1 2/m 1'
_space_group_IT_number 12
loop_
_space_group_symop_operation_xyz
'x,y,z'
'-x,-y,-z'
'-x,y,-z'
'x,-y,z'
'x+1/2,y+1/2,z'
'-x+1/2,-y+1/2,-z'
'-x+1/2,y+1/2,-z'
'x+1/2,-y+1/2,z'
loop_
_atom_site_label
_atom_site_type_symbol
_atom_site_fract_x
_atom_site_fract_y
_atom_site_fract_z
_atom_site_occupancy
Zn1 Zn 0.000 0.000 0.000 1
Ga1 Ga 0.000 0.000 0.500 1
Fe1 Fe 0.166 0.500 0.849 1
Fe2 Fe 0.167 0.500 0.350 1
# - Polymorph energy (0 for the lowest one): 0.0 meV per atom
# - Crystal system: monoclinic
# - D(E_F): 4.52 states/eV/cell
# - Energy of formation from the pure elements: -0.062 eV/atom
# - Calculated density: 8.072 g/cm3
# - Final energy: -0.472 Ry/atom

***

# Zn2GaFe5 (PBE-GGA, optimized geometry)
data_Zn2GaFe5
_cell_length_a 3.633
_cell_length_b 3.633
_cell_length_c 15.095
_cell_angle_alpha 90.00
_cell_angle_beta 90.00
_cell_angle_gamma 90.00
_space_group_name_H-M_alt 'I 4/m m m'
_space_group_IT_number 139
_space_group_name_Hall '-I 4 2'
loop_
_atom_site_label
_atom_site_type_symbol
_atom_site_fract_x
_atom_site_fract_y
_atom_site_fract_z
_atom_site_occupancy
Zn1 Zn 0.000 0.000 0.248 1
Ga1 Ga 0.000 0.000 0.500 1
Fe1 Fe 0.000 0.000 0.000 1
Fe2 Fe 0.000 0.500 0.123 1
# - Crystal system: tetragonal
# - D(E_F): 11.78 states/eV/cell
# - Energy of formation from the pure elements: -0.038 eV/atom
# - Calculated density: 7.996 g/cm3
# - Final energy: -0.443 Ry/atom

***

# ZnGa2Fe2 (PBE-GGA, optimized geometry)
data_ZnGa2Fe2
_cell_length_a 6.546
_cell_length_b 6.546
_cell_length_c 3.238
_cell_angle_alpha 90.00
_cell_angle_beta 90.00
_cell_angle_gamma 90.00
_space_group_name_H-M_alt 'P 4/m b m'
_space_group_IT_number 127
_space_group_name_Hall '-P 4 2ab'
loop_
_atom_site_label
_atom_site_type_symbol
_atom_site_fract_x
_atom_site_fract_y
_atom_site_fract_z
_atom_site_occupancy
Zn1 Zn 0.000 0.000 0.000 1
Ga1 Ga 0.166 0.334 0.500 1
Fe1 Fe 0.130 0.630 0.000 1
# - Polymorph energy (0 for the lowest one): 0.0 meV per atom
# - Crystal system: tetragonal
# - D(E_F): 6.22 states/eV/cell
# - Energy of formation from the pure elements: 0.000 eV/atom
# - Calculated density: 7.577 g/cm3
# - Final energy: -0.357 Ry/atom